The following is a PBE calculation of a geometry-optimized Mg2AlPb structure, from the Alexandria database.

Lattice parameters (Å, degrees): 5.7849 5.7849 5.7849 49.05 49.05 49.05
Closest atoms and distances in Å follow each position.
Positions (direct):
Mg 0.0000 0.0000 0.0000  3 Al 2.82
Mg 0.2176 0.2176 0.2176  3 Al 3.04, 4 Mg 3.29-3.31, 4 Pb 3.29-3.31
Al 0.6324 0.6324 0.6324  6 Mg 2.82-3.04, 1 Pb 3.01
Pb 0.4349 0.4349 0.4349  1 Al 3.01, 7 Mg 3.17-3.31

Properties
As for the energy relative to the elements: 2.66 kcal/mol of atoms. As for the total magnetization: 0.0 μB per cell.

---

The following is a PBE calculation of a geometry-optimized Mg2AlPb structure, from the Alexandria database.

Lattice parameters (Å, degrees): 3.2829 4.2382 6.6086 90.00 91.71 90.00
Closest atoms and distances in Å follow each position.
Positions (direct):
Mg 0.0017 0.0000 0.2256  3 Mg 2.98-3.28, 4 Al 3.05-3.09, 4 Pb 3.21-3.27
Mg 0.9983 0.0000 0.7744  3 Mg 2.98-3.28, 4 Al 3.05-3.09, 4 Pb 3.21-3.27
Al 0.5000 0.5000 0.0000  8 Mg 3.05-3.09, 2 Al 3.28, 2 Pb 3.30
Pb 0.5000 0.5000 0.5000  8 Mg 3.21-3.27, 2 Pb 3.28, 2 Al 3.30

Properties
As for the energy relative to the elements: 0.67 kcal/mol of atoms. As for the total magnetization: 0.0 μB per cell.

---

The following is a PBE calculation of a geometry-optimized Mg5AlPb2 structure, from the Alexandria database.

Lattice parameters (Å, degrees): 9.1171 9.1171 9.1171 149.93 149.93 43.04
Closest atoms and distances in Å follow each position.
Positions (direct):
Mg 0.0000 0.0000 0.0000  8 Mg 3.07, 4 Al 3.34
Mg 0.1150 0.6150 0.5000  6 Mg 3.07-3.34, 2 Al 3.07, 4 Pb 3.25-3.33
Mg 0.3850 0.8850 0.5000  2 Al 3.07, 6 Mg 3.07-3.34, 4 Pb 3.25-3.33
Mg 0.6150 0.1150 0.5000  6 Mg 3.07-3.34, 2 Al 3.07, 4 Pb 3.25-3.33
Mg 0.8850 0.3850 0.5000  2 Al 3.07, 6 Mg 3.07-3.34, 4 Pb 3.25-3.33
Al 0.5000 0.5000 0.0000  12 Mg 3.07-3.34
Pb 0.2464 0.2464 0.0000  8 Mg 3.25-3.33, 4 Pb 3.35
Pb 0.7536 0.7536 0.0000  8 Mg 3.25-3.33, 4 Pb 3.35

Properties
As for the energy relative to the elements: -0.06 kcal/mol of atoms. As for the total magnetization: 0.0 μB per cell.